Record 1
DFT (PBE-GGA) results for a geometry-optimized RbMnPd structure.

## Properties
Its density of states at the Fermi level is 1.86 states/eV/f.u. The calculation puts the offset from the most stable computed form at 0.296 eV per atom. For the total magnetization, the calculation gives 1.56 μB/atom.

Geometry as CIF:
```
data_RbMnPd
_chemical_formula_sum 'Rb2 Mn2 Pd2'
_space_group_name_H-M_alt 'P -1'
_space_group_IT_number 2
_cell_length_a 5.575
_cell_length_b 6.726
_cell_length_c 6.989
_cell_angle_alpha 61.30
_cell_angle_beta 66.66
_cell_angle_gamma 90.00
loop_
_space_group_symop_operation_xyz
'x,y,z'
'-x,-y,-z'
loop_
_atom_site_label
_atom_site_fract_x
_atom_site_fract_y
_atom_site_fract_z
_atom_site_occupancy
Rb1 0.183 0.184 0.131 1
Mn1 0.250 0.501 0.499 1
Pd1 0.500 0.196 0.501 1
```



Record 2
DFT (PBE-GGA) results for a geometry-optimized RbMnPd structure.

## Properties
Its density of states at the Fermi level is 2.78 states/eV/f.u. The calculation puts the offset from the most stable computed form at 0.159 eV per atom. For the total magnetization, the calculation gives 0.00 μB/atom.

Geometry as CIF:
```
data_RbMnPd
_chemical_formula_sum 'Rb2 Mn2 Pd2'
_space_group_name_H-M_alt 'P -1'
_space_group_IT_number 2
_cell_length_a 3.933
_cell_length_b 3.933
_cell_length_c 12.314
_cell_angle_alpha 86.32
_cell_angle_beta 86.71
_cell_angle_gamma 60.04
loop_
_space_group_symop_operation_xyz
'x,y,z'
'-x,-y,-z'
loop_
_atom_site_label
_atom_site_fract_x
_atom_site_fract_y
_atom_site_fract_z
_atom_site_occupancy
Rb1 0.198 0.212 0.192 1
Mn1 0.167 0.166 0.501 1
Pd1 0.488 0.483 0.612 1
```



Record 3
DFT (PBE-GGA) results for a geometry-optimized RbMn2Pd structure.

## Properties
Its density of states at the Fermi level is 3.73 states/eV/f.u. The calculation puts the offset from the most stable computed form at 0.000 eV per atom. For the total magnetization, the calculation gives 2.22 μB/atom.

Geometry as CIF:
```
data_RbMn2Pd
_chemical_formula_sum 'Rb4 Mn8 Pd4'
_space_group_name_H-M_alt 'I 41/a m d'
_space_group_IT_number 141
_cell_length_a 5.493
_cell_length_b 5.493
_cell_length_c 17.123
_cell_angle_alpha 90.00
_cell_angle_beta 90.00
_cell_angle_gamma 90.00
loop_
_space_group_symop_operation_xyz
'x,y,z'
'-x,-y,-z'
'-y+1/4,x+3/4,z+1/4'
'y+1/4,-x+3/4,-z+1/4'
'-x+1/2,-y,z+1/2'
'x+1/2,y,-z+1/2'
'y+1/4,-x+1/4,z+3/4'
'-y+1/4,x+1/4,-z+3/4'
'x,-y,-z'
'-x,y,z'
'-y+1/4,-x+1/4,-z+3/4'
'y+1/4,x+1/4,z+3/4'
'-x+1/2,y,-z+1/2'
'x+1/2,-y,z+1/2'
'y+1/4,x+3/4,-z+1/4'
'-y+1/4,-x+3/4,z+1/4'
'x+1/2,y+1/2,z+1/2'
'-x+1/2,-y+1/2,-z+1/2'
'-y+3/4,x+1/4,z+3/4'
'y+3/4,-x+1/4,-z+3/4'
'-x,-y+1/2,z'
'x,y+1/2,-z'
'y+3/4,-x+3/4,z+1/4'
'-y+3/4,x+3/4,-z+1/4'
'x+1/2,-y+1/2,-z+1/2'
'-x+1/2,y+1/2,z+1/2'
'-y+3/4,-x+3/4,-z+1/4'
'y+3/4,x+3/4,z+1/4'
'-x,y+1/2,-z'
'x,-y+1/2,z'
'y+3/4,x+1/4,-z+3/4'
'-y+3/4,-x+1/4,z+3/4'
loop_
_atom_site_label
_atom_site_fract_x
_atom_site_fract_y
_atom_site_fract_z
_atom_site_occupancy
Rb1 0.000 0.250 0.375 1
Mn1 0.000 0.000 0.000 1
Pd1 0.000 0.250 0.875 1
```



Record 4
DFT (PBE-GGA) results for a geometry-optimized RbMnPd structure.

## Properties
Its density of states at the Fermi level is 1.82 states/eV/f.u. The calculation puts the offset from the most stable computed form at 0.232 eV per atom. For the total magnetization, the calculation gives 1.57 μB/atom.

Geometry as CIF:
```
data_RbMnPd
_chemical_formula_sum 'Rb4 Mn4 Pd4'
_space_group_name_H-M_alt 'P n m a'
_space_group_IT_number 62
_cell_length_a 12.130
_cell_length_b 4.691
_cell_length_c 7.378
_cell_angle_alpha 90.00
_cell_angle_beta 90.00
_cell_angle_gamma 90.00
loop_
_space_group_symop_operation_xyz
'x,y,z'
'-x,-y,-z'
'-x+1/2,-y,z+1/2'
'x+1/2,y,-z+1/2'
'x+1/2,-y+1/2,-z+1/2'
'-x+1/2,y+1/2,z+1/2'
'-x,y+1/2,-z'
'x,-y+1/2,z'
loop_
_atom_site_label
_atom_site_fract_x
_atom_site_fract_y
_atom_site_fract_z
_atom_site_occupancy
Rb1 0.181 0.250 0.053 1
Mn1 0.025 0.250 0.597 1
Pd1 0.058 0.750 0.721 1
```



Record 5
DFT (PBE-GGA) results for a geometry-optimized Rb3MnPd structure.

## Properties
Its density of states at the Fermi level is 12.98 states/eV/f.u. The calculation puts the offset from the most stable computed form at 0.000 eV per atom. For the total magnetization, the calculation gives 0.82 μB/atom.

Geometry as CIF:
```
data_Rb3MnPd
_chemical_formula_sum 'Rb3 Mn1 Pd1'
_space_group_name_H-M_alt 'P m -3 m'
_space_group_IT_number 221
_space_group_name_Hall '-P 4 2 3'
_cell_length_a 6.484
_cell_length_b 6.484
_cell_length_c 6.484
_cell_angle_alpha 90.00
_cell_angle_beta 90.00
_cell_angle_gamma 90.00
loop_
_atom_site_label
_atom_site_fract_x
_atom_site_fract_y
_atom_site_fract_z
_atom_site_occupancy
Rb1 0.000 0.000 0.500 1
Mn1 0.500 0.500 0.500 1
Pd1 0.000 0.000 0.000 1
```



Record 6
DFT (PBE-GGA) results for a geometry-optimized RbMnPd structure.

## Properties
Its density of states at the Fermi level is 1.56 states/eV/f.u. The calculation puts the offset from the most stable computed form at 0.392 eV per atom. For the total magnetization, the calculation gives 0.00 μB/atom.

Geometry as CIF:
```
data_RbMnPd
_chemical_formula_sum 'Rb2 Mn2 Pd2'
_space_group_name_H-M_alt 'P 1'
_space_group_IT_number 1
_cell_length_a 3.145
_cell_length_b 6.400
_cell_length_c 7.295
_cell_angle_alpha 78.32
_cell_angle_beta 89.99
_cell_angle_gamma 89.87
loop_
_space_group_symop_operation_xyz
'x,y,z'
loop_
_atom_site_label
_atom_site_fract_x
_atom_site_fract_y
_atom_site_fract_z
_atom_site_occupancy
Rb1 0.000 0.000 0.000 1
Rb2 0.499 0.876 0.509 1
Mn1 0.494 0.458 0.165 1
Mn2 0.994 0.418 0.345 1
Pd1 0.494 0.361 0.623 1
Pd2 0.994 0.515 0.887 1
```



Record 7
DFT (PBE-GGA) results for a geometry-optimized RbMnPd structure.

## Properties
Its density of states at the Fermi level is 1.82 states/eV/f.u. The calculation puts the offset from the most stable computed form at 0.000 eV per atom. For the total magnetization, the calculation gives 1.52 μB/atom.

Geometry as CIF:
```
data_RbMnPd
_chemical_formula_sum 'Rb2 Mn2 Pd2'
_space_group_name_H-M_alt 'P 1'
_space_group_IT_number 1
_cell_length_a 3.392
_cell_length_b 4.254
_cell_length_c 12.720
_cell_angle_alpha 90.04
_cell_angle_beta 97.08
_cell_angle_gamma 90.00
loop_
_space_group_symop_operation_xyz
'x,y,z'
loop_
_atom_site_label
_atom_site_fract_x
_atom_site_fract_y
_atom_site_fract_z
_atom_site_occupancy
Rb1 0.000 0.000 0.000 1
Rb2 0.299 0.503 0.649 1
Mn1 0.110 0.502 0.242 1
Mn2 0.186 0.003 0.407 1
Pd1 0.610 0.002 0.243 1
Pd2 0.685 0.503 0.406 1
```



Record 8
DFT (PBE-GGA) results for a geometry-optimized RbMnPd structure.

## Properties
Its density of states at the Fermi level is 4.98 states/eV/f.u. The calculation puts the offset from the most stable computed form at 0.469 eV per atom. For the total magnetization, the calculation gives 0.00 μB/atom.

Geometry as CIF:
```
data_RbMnPd
_chemical_formula_sum 'Rb2 Mn2 Pd2'
_space_group_name_H-M_alt 'P 4/n m m'
_space_group_IT_number 129
_cell_length_a 3.356
_cell_length_b 3.356
_cell_length_c 13.421
_cell_angle_alpha 90.00
_cell_angle_beta 90.00
_cell_angle_gamma 90.00
loop_
_space_group_symop_operation_xyz
'x,y,z'
'-x,-y,-z'
'-y+1/2,x,z'
'y+1/2,-x,-z'
'-x+1/2,-y+1/2,z'
'x+1/2,y+1/2,-z'
'y,-x+1/2,z'
'-y,x+1/2,-z'
'x+1/2,-y,-z'
'-x+1/2,y,z'
'-y,-x,-z'
'y,x,z'
'-x,y+1/2,-z'
'x,-y+1/2,z'
'y+1/2,x+1/2,-z'
'-y+1/2,-x+1/2,z'
loop_
_atom_site_label
_atom_site_fract_x
_atom_site_fract_y
_atom_site_fract_z
_atom_site_occupancy
Rb1 0.250 0.250 0.175 1
Mn1 0.250 0.750 0.500 1
Pd1 0.250 0.250 0.647 1
```



The calculation returns the following V values, one per record and in order: 34.19; 27.43; 32.29; 34.98; 54.52; 23.97; 30.36; 25.19 A^3/atom.